<w>
## ScTe2Cl (PBE-GGA)

Data for an optimized crystal structure of ScTe2Cl.

Output
Total magnetic moment (μB/atom): 0.001

a b c (Å): 3.221 3.221 11.192
angles (deg): 90.00 90.00 90.00
Atoms (fractional coordinates):
Sc (0.000, 0.000, 0.000)
Te (0.000, 0.000, 0.529)
Te (0.500, 0.500, 0.185)
Cl (0.500, 0.500, 0.869)

***

<x>
## ScTe2Cl (PBE-GGA)

Data for an optimized crystal structure of ScTe2Cl.

Output
Total magnetic moment (μB/atom): 0.000

a b c (Å): 3.847 3.847 7.055
angles (deg): 90.00 90.00 90.00
Atoms (fractional coordinates):
Sc (0.000, 0.000, 0.000)
Te (0.500, 0.500, 0.202)
Te (0.500, 0.500, 0.798)
Cl (0.000, 0.000, 0.500)

***

Stability check: which of them is most stable? <w>.

***

<w>
## ScTe2Cl (PBE-GGA)

Data for an optimized crystal structure of ScTe2Cl.

Output
Total magnetic moment (μB/atom): 0.000

a b c (Å): 7.344 7.344 7.344
angles (deg): 90.00 90.00 90.00
Atoms (fractional coordinates):
Sc (0.000, 0.000, 0.000)
Sc (0.000, 0.500, 0.500)
Sc (0.500, 0.000, 0.500)
Sc (0.500, 0.500, 0.000)
Te (0.250, 0.250, 0.250)
Te (0.250, 0.250, 0.750)
Te (0.250, 0.750, 0.250)
Te (0.250, 0.750, 0.750)
Te (0.750, 0.250, 0.250)
Te (0.750, 0.250, 0.750)
Te (0.750, 0.750, 0.250)
Te (0.750, 0.750, 0.750)
Cl (0.000, 0.000, 0.500)
Cl (0.000, 0.500, 0.000)
Cl (0.500, 0.000, 0.000)
Cl (0.500, 0.500, 0.500)

***

<x>
## ScTe2Cl (PBE-GGA)

Data for an optimized crystal structure of ScTe2Cl.

Output
Total magnetic moment (μB/atom): 0.000

a b c (Å): 3.421 3.421 32.273
angles (deg): 90.00 90.00 120.00
Atoms (fractional coordinates):
Sc (0.000, 0.000, 0.000)
Sc (0.333, 0.667, 0.667)
Sc (0.667, 0.333, 0.333)
Te (0.000, 0.000, 0.088)
Te (0.000, 0.000, 0.912)
Te (0.333, 0.667, 0.578)
Te (0.333, 0.667, 0.755)
Te (0.667, 0.333, 0.245)
Te (0.667, 0.333, 0.422)
Cl (0.000, 0.000, 0.500)
Cl (0.333, 0.667, 0.167)
Cl (0.667, 0.333, 0.833)

***

Stability check: which of them is most stable? <w>.

***

<w>
## ScTe2Cl (PBE-GGA)

Data for an optimized crystal structure of ScTe2Cl.

Output
Total magnetic moment (μB/atom): 0.000

a b c (Å): 4.320 4.320 25.119
angles (deg): 90.00 90.00 120.00
Atoms (fractional coordinates):
Sc (0.000, 0.000, 0.000)
Sc (0.333, 0.667, 0.667)
Sc (0.667, 0.333, 0.333)
Te (0.000, 0.000, 0.394)
Te (0.000, 0.000, 0.606)
Te (0.333, 0.667, 0.061)
Te (0.333, 0.667, 0.273)
Te (0.667, 0.333, 0.727)
Te (0.667, 0.333, 0.939)
Cl (0.000, 0.000, 0.500)
Cl (0.333, 0.667, 0.167)
Cl (0.667, 0.333, 0.833)

***

<x>
## ScTe2Cl (PBE-GGA)

Data for an optimized crystal structure of ScTe2Cl.

Output
Total magnetic moment (μB/atom): 0.000

a b c (Å): 10.773 3.895 6.419
angles (deg): 90.00 103.27 90.00
Atoms (fractional coordinates):
Sc (0.000, 0.000, 0.000)
Sc (0.500, 0.500, 0.000)
Te (0.066, 0.500, 0.349)
Te (0.209, 0.500, 0.040)
Te (0.566, 0.000, 0.349)
Te (0.709, 0.000, 0.040)
Cl (0.389, 0.000, 0.751)
Cl (0.889, 0.500, 0.751)

***

<y>
## ScTe2Cl (PBE-GGA)

Data for an optimized crystal structure of ScTe2Cl.

Output
Total magnetic moment (μB/atom): 0.000

a b c (Å): 4.055 4.055 24.360
angles (deg): 90.00 90.00 120.00
Atoms (fractional coordinates):
Sc (0.000, 0.000, 0.000)
Sc (0.333, 0.667, 0.667)
Sc (0.667, 0.333, 0.333)
Te (0.000, 0.000, 0.264)
Te (0.000, 0.000, 0.736)
Te (0.333, 0.667, 0.403)
Te (0.333, 0.667, 0.930)
Te (0.667, 0.333, 0.070)
Te (0.667, 0.333, 0.597)
Cl (0.000, 0.000, 0.500)
Cl (0.333, 0.667, 0.167)
Cl (0.667, 0.333, 0.833)

***

<z>
## ScTe2Cl (PBE-GGA)

Data for an optimized crystal structure of ScTe2Cl.

Output
Total magnetic moment (μB/atom): 0.000

a b c (Å): 4.395 3.583 8.353
angles (deg): 90.00 99.07 90.00
Atoms (fractional coordinates):
Sc (0.000, 0.000, 0.000)
Te (0.476, 0.500, 0.875)
Te (0.768, 0.000, 0.641)
Cl (0.103, 0.500, 0.217)

***

Stability check: which of them is most stable? <x>.

***

<w>
## ScTe3Cl (PBE-GGA)

Data for an optimized crystal structure of ScTe3Cl.

Output
Total magnetic moment (μB/atom): 0.000

a b c (Å): 5.334 5.334 5.334
angles (deg): 90.00 90.00 90.00
Atoms (fractional coordinates):
Sc (0.000, 0.000, 0.000)
Te (0.000, 0.500, 0.500)
Te (0.500, 0.000, 0.500)
Te (0.500, 0.500, 0.000)
Cl (0.500, 0.500, 0.500)

***

<x>
## ScTe3Cl (PBE-GGA)

Data for an optimized crystal structure of ScTe3Cl.

Output
Total magnetic moment (μB/atom): 0.000

a b c (Å): 5.489 5.489 5.489
angles (deg): 90.00 90.00 90.00
Atoms (fractional coordinates):
Sc (0.000, 0.000, 0.000)
Te (0.000, 0.000, 0.500)
Te (0.000, 0.500, 0.000)
Te (0.500, 0.000, 0.000)
Cl (0.500, 0.500, 0.500)

***

Stability check: which of them is most stable? <x>.

***

<w>
## ScTe2Cl2 (PBE-GGA)

Data for an optimized crystal structure of ScTe2Cl2.

Output
Total magnetic moment (μB/atom): 0.000

a b c (Å): 6.550 6.550 6.734
angles (deg): 90.00 90.00 90.00
Atoms (fractional coordinates):
Sc (0.000, 0.000, 0.000)
Sc (0.500, 0.500, 0.000)
Te (0.152, 0.348, 0.500)
Te (0.348, 0.848, 0.500)
Te (0.652, 0.152, 0.500)
Te (0.848, 0.652, 0.500)
Cl (0.168, 0.668, 0.000)
Cl (0.332, 0.168, 0.000)
Cl (0.668, 0.832, 0.000)
Cl (0.832, 0.332, 0.000)

***

<x>
## ScTe2Cl2 (PBE-GGA)

Data for an optimized crystal structure of ScTe2Cl2.

Output
Total magnetic moment (μB/atom): 0.201

a b c (Å): 3.974 3.974 22.588
angles (deg): 90.00 90.00 90.00
Atoms (fractional coordinates):
Sc (0.000, 0.000, 0.000)
Sc (0.500, 0.500, 0.500)
Te (0.000, 0.500, 0.250)
Te (0.000, 0.500, 0.750)
Te (0.500, 0.000, 0.250)
Te (0.500, 0.000, 0.750)
Cl (0.000, 0.000, 0.433)
Cl (0.000, 0.000, 0.567)
Cl (0.500, 0.500, 0.067)
Cl (0.500, 0.500, 0.933)

***

Stability check: which of them is most stable? <w>.

***

<w>
## ThScCl (PBE-GGA)

Data for an optimized crystal structure of ThScCl.

Output
Total magnetic moment (μB/atom): 0.000

a b c (Å): 8.551 8.551 8.551
angles (deg): 33.74 33.74 33.74
Atoms (fractional coordinates):
Th (0.076, 0.076, 0.076)
Th (0.924, 0.924, 0.924)
Sc (0.328, 0.328, 0.328)
Sc (0.672, 0.672, 0.672)
Cl (0.208, 0.208, 0.208)
Cl (0.792, 0.792, 0.792)

***

<x>
## ThScCl (PBE-GGA)

Data for an optimized crystal structure of ThScCl.

Output
Total magnetic moment (μB/atom): 0.000

a b c (Å): 3.450 3.450 7.466
angles (deg): 90.00 90.00 120.00
Atoms (fractional coordinates):
Th (0.000, 0.000, 0.000)
Sc (0.667, 0.333, 0.362)
Cl (0.333, 0.667, 0.602)

***

Stability check: which of them is most stable? <x>.

***

<w>
## ScTi3Cl (PBE-GGA)

Data for an optimized crystal structure of ScTi3Cl.

Output
Total magnetic moment (μB/atom): 0.480

a b c (Å): 4.908 4.908 4.908
angles (deg): 90.00 90.00 90.00
Atoms (fractional coordinates):
Sc (0.000, 0.000, 0.000)
Ti (0.000, 0.000, 0.500)
Ti (0.000, 0.500, 0.000)
Ti (0.500, 0.000, 0.000)
Cl (0.500, 0.500, 0.500)

***

<x>
## ScTi3Cl (PBE-GGA)

Data for an optimized crystal structure of ScTi3Cl.

Output
Total magnetic moment (μB/atom): 0.000

a b c (Å): 4.540 4.540 4.540
angles (deg): 90.00 90.00 90.00
Atoms (fractional coordinates):
Sc (0.000, 0.000, 0.000)
Ti (0.000, 0.500, 0.500)
Ti (0.500, 0.000, 0.500)
Ti (0.500, 0.500, 0.000)
Cl (0.500, 0.500, 0.500)

***

Stability check: which of them is most stable? <x>.

***

<w>
## ScTiCl2 (PBE-GGA)

Data for an optimized crystal structure of ScTiCl2.

Output
Total magnetic moment (μB/atom): 0.164

a b c (Å): 6.395 6.395 6.395
angles (deg): 90.00 90.00 90.00
Atoms (fractional coordinates):
Sc (0.000, 0.000, 0.000)
Sc (0.000, 0.500, 0.500)
Sc (0.500, 0.000, 0.500)
Sc (0.500, 0.500, 0.000)
Ti (0.000, 0.000, 0.500)
Ti (0.000, 0.500, 0.000)
Ti (0.500, 0.000, 0.000)
Ti (0.500, 0.500, 0.500)
Cl (0.250, 0.250, 0.250)
Cl (0.250, 0.250, 0.750)
Cl (0.250, 0.750, 0.250)
Cl (0.250, 0.750, 0.750)
Cl (0.750, 0.250, 0.250)
Cl (0.750, 0.250, 0.750)
Cl (0.750, 0.750, 0.250)
Cl (0.750, 0.750, 0.750)

***

<x>
## ScTiCl2 (PBE-GGA)

Data for an optimized crystal structure of ScTiCl2.

Output
Total magnetic moment (μB/atom): 0.288

a b c (Å): 3.261 3.261 25.884
angles (deg): 90.00 90.00 120.00
Atoms (fractional coordinates):
Sc (0.000, 0.000, 0.000)
Sc (0.333, 0.667, 0.667)
Sc (0.667, 0.333, 0.333)
Ti (0.000, 0.000, 0.500)
Ti (0.333, 0.667, 0.167)
Ti (0.667, 0.333, 0.833)
Cl (0.000, 0.000, 0.403)
Cl (0.000, 0.000, 0.597)
Cl (0.333, 0.667, 0.070)
Cl (0.333, 0.667, 0.263)
Cl (0.667, 0.333, 0.737)
Cl (0.667, 0.333, 0.930)

***

Stability check: which of them is most stable? <x>.

***

<w>
## ScTiCl3 (PBE-GGA)

Data for an optimized crystal structure of ScTiCl3.

Output
Total magnetic moment (μB/atom): 0.782

a b c (Å): 5.019 5.019 5.019
angles (deg): 90.00 90.00 90.00
Atoms (fractional coordinates):
Sc (0.000, 0.000, 0.000)
Ti (0.500, 0.500, 0.500)
Cl (0.000, 0.000, 0.500)
Cl (0.000, 0.500, 0.000)
Cl (0.500, 0.000, 0.000)

***

<x>
## ScTiCl3 (PBE-GGA)

Data for an optimized crystal structure of ScTiCl3.

Output
Total magnetic moment (μB/atom): 0.788

a b c (Å): 4.926 4.926 4.926
angles (deg): 90.00 90.00 90.00
Atoms (fractional coordinates):
Sc (0.000, 0.000, 0.000)
Ti (0.500, 0.500, 0.500)
Cl (0.000, 0.500, 0.500)
Cl (0.500, 0.000, 0.500)
Cl (0.500, 0.500, 0.000)

***

Stability check: which of them is most stable? <w>.

***

<w>
## ScTlCl (PBE-GGA)

Data for an optimized crystal structure of ScTlCl.

Output
Total magnetic moment (μB/atom): 0.000

a b c (Å): 3.462 3.462 7.819
angles (deg): 90.00 90.00 120.00
Atoms (fractional coordinates):
Sc (0.000, 0.000, 0.000)
Tl (0.667, 0.333, 0.307)
Cl (0.333, 0.667, 0.790)

***

<x>
## ScTlCl (PBE-GGA)

Data for an optimized crystal structure of ScTlCl.

Output
Total magnetic moment (μB/atom): 0.000

a b c (Å): 6.879 6.879 6.879
angles (deg): 90.00 90.00 90.00
Atoms (fractional coordinates):
Sc (0.000, 0.000, 0.000)
Sc (0.000, 0.500, 0.500)
Sc (0.500, 0.000, 0.500)
Sc (0.500, 0.500, 0.000)
Tl (0.250, 0.250, 0.250)
Tl (0.250, 0.750, 0.750)
Tl (0.750, 0.250, 0.750)
Tl (0.750, 0.750, 0.250)
Cl (0.250, 0.250, 0.750)
Cl (0.250, 0.750, 0.250)
Cl (0.750, 0.250, 0.250)
Cl (0.750, 0.750, 0.750)

***

<y>
## ScTlCl (PBE-GGA)

Data for an optimized crystal structure of ScTlCl.

Output
Total magnetic moment (μB/atom): 0.029

a b c (Å): 3.256 3.256 15.138
angles (deg): 90.00 90.00 90.00
Atoms (fractional coordinates):
Sc (0.000, 0.000, 0.000)
Sc (0.500, 0.500, 0.500)
Tl (0.000, 0.000, 0.348)
Tl (0.500, 0.500, 0.848)
Cl (0.000, 0.000, 0.593)
Cl (0.500, 0.500, 0.093)

***

<z>
## ScTlCl (PBE-GGA)

Data for an optimized crystal structure of ScTlCl.

Output
Total magnetic moment (μB/atom): 0.011

a b c (Å): 6.797 6.797 6.797
angles (deg): 90.00 90.00 90.00
Atoms (fractional coordinates):
Sc (0.000, 0.000, 0.000)
Sc (0.000, 0.500, 0.500)
Sc (0.500, 0.000, 0.500)
Sc (0.500, 0.500, 0.000)
Tl (0.000, 0.000, 0.500)
Tl (0.000, 0.500, 0.000)
Tl (0.500, 0.000, 0.000)
Tl (0.500, 0.500, 0.500)
Cl (0.250, 0.250, 0.750)
Cl (0.250, 0.750, 0.250)
Cl (0.750, 0.250, 0.250)
Cl (0.750, 0.750, 0.750)

***

Stability check: which of them is most stable? <w>.

***

<w>
## ScTlCl (PBE-GGA)

Data for an optimized crystal structure of ScTlCl.

Output
Total magnetic moment (μB/atom): 0.000

a b c (Å): 3.532 5.981 15.922
angles (deg): 90.00 90.00 90.00
Atoms (fractional coordinates):
Sc (0.000, 0.000, 0.000)
Sc (0.000, 0.500, 0.500)
Sc (0.500, 0.000, 0.500)
Sc (0.500, 0.500, 0.000)
Tl (0.000, 0.000, 0.345)
Tl (0.000, 0.500, 0.845)
Tl (0.500, 0.000, 0.845)
Tl (0.500, 0.500, 0.345)
Cl (0.000, 0.000, 0.612)
Cl (0.000, 0.500, 0.112)
Cl (0.500, 0.000, 0.112)
Cl (0.500, 0.500, 0.612)

***

<x>
## ScTlCl (PBE-GGA)

Data for an optimized crystal structure of ScTlCl.

Output
Total magnetic moment (μB/atom): 0.000

a b c (Å): 4.225 4.225 8.033
angles (deg): 90.00 90.00 90.00
Atoms (fractional coordinates):
Sc (0.250, 0.250, 0.203)
Sc (0.750, 0.750, 0.797)
Tl (0.250, 0.250, 0.587)
Tl (0.750, 0.750, 0.413)
Cl (0.250, 0.750, 0.000)
Cl (0.750, 0.250, 0.000)

***

Stability check: which of them is most stable? <x>.

***

<w>
## ScV3Cl (PBE-GGA)

Data for an optimized crystal structure of ScV3Cl.

Output
Total magnetic moment (μB/atom): 0.197

a b c (Å): 4.332 4.332 4.332
angles (deg): 90.00 90.00 90.00
Atoms (fractional coordinates):
Sc (0.000, 0.000, 0.000)
V (0.000, 0.500, 0.500)
V (0.500, 0.000, 0.500)
V (0.500, 0.500, 0.000)
Cl (0.500, 0.500, 0.500)

***

<x>
## ScV3Cl (PBE-GGA)

Data for an optimized crystal structure of ScV3Cl.

Output
Total magnetic moment (μB/atom): 1.225

a b c (Å): 4.809 4.809 4.809
angles (deg): 90.00 90.00 90.00
Atoms (fractional coordinates):
Sc (0.000, 0.000, 0.000)
V (0.000, 0.000, 0.500)
V (0.000, 0.500, 0.000)
V (0.500, 0.000, 0.000)
Cl (0.500, 0.500, 0.500)

***

Stability check: which of them is most stable? <w>.